1.
Material: Cs2SeOF6
Method: DFT, PBE-GGA
State: optimized geometry

a = 6.461 Å, b = 6.461 Å, c = 9.918 Å
α = 90.00°, β = 90.00°, γ = 90.00°
Space group I4/mmm (No. 139)
Unique sites:
Cs  0.000  0.500  0.250 [4 per cell]
Se  0.000  0.000  0.000 [2 per cell]
O  0.000  0.000  0.500 [2 per cell]
F  0.000  0.000  0.198 [4 per cell]
F  0.214  0.214  0.000 [8 per cell]

Properties
Magnetic moment: 2.000 μB per formula unit
E_tot: -3.92 eV/atom

2.
Material: CsSeOF2
Method: DFT, PBE-GGA
State: optimized geometry

a = 4.812 Å, b = 4.812 Å, c = 3.840 Å
α = 90.00°, β = 90.00°, γ = 90.00°
Space group P4/mmm (No. 123)
Unique sites:
Cs  0.000  0.000  0.000 [1 per cell]
Se  0.500  0.500  0.500 [1 per cell]
O  0.500  0.500  0.000 [1 per cell]
F  0.000  0.500  0.500 [2 per cell]

Properties
Energy above the most stable polymorph in this dataset: 0 meV per atom
Magnetic moment: 0.000 μB per formula unit
E_tot: -4.08 eV/atom

3.
Material: Cs2SeOF5
Method: DFT, PBE-GGA
State: optimized geometry

a = 6.451 Å, b = 6.451 Å, c = 9.531 Å
α = 90.00°, β = 90.00°, γ = 90.00°
Space group I4mm (No. 107)
Unique sites:
Cs  0.000  0.500  0.000 [4 per cell]
Se  0.000  0.000  0.260 [2 per cell]
O  0.000  0.000  0.435 [2 per cell]
F  0.000  0.000  0.039 [2 per cell]
F  0.211  0.211  0.242 [8 per cell]

Properties
Magnetic moment: 1.022 μB per formula unit
E_tot: -4.20 eV/atom